4
Lattice="-3.8374 -1.7828 1.1336 2.6404 -0.9234 -3.3712 3.8290 -5.3953 4.4767" Properties=species:S:1:pos:R:3 comment="TeAsSe2 PBE-GGA relaxed" relative_energy_mev_per_atom=309 space_group="Cmmm (65)" formation_energy_uncorrected_mev_per_atom=260 rho_kg_m3=5089 pbc="T T T"
As 2.2732 -5.3996 2.2387
Se 3.7441 -5.2758 4.3775
Se 1.9993 -2.8172 2.3375
Te 0.3587 -2.7019 0.0004